No. 1
VASP calculation (PBE) on CrBiSe2 after structural relaxation.

Structure (POSCAR):
```
CrBiSe2
1.0
6.8209 0.0000 0.0000
0.0000 9.3136 0.0000
0.0000 0.0000 6.7413
Cr Bi Se
4 4 8
Direct
0.0654 0.0974 0.0000
0.4346 0.5974 0.5000
0.5654 0.4026 0.0000
0.9346 0.9026 0.5000
0.0630 0.5272 0.2211
0.4370 0.0272 0.7211
0.5630 0.9728 0.2211
0.9370 0.4728 0.7211
0.0570 0.1359 0.6378
0.2187 0.7763 0.6541
0.2813 0.2763 0.1541
0.4430 0.6359 0.1378
0.5570 0.3641 0.6378
0.7187 0.7237 0.6541
0.7813 0.2237 0.1541
0.9430 0.8641 0.1378
```

## Properties
Its formation energy from raw total energies is -0.157 eV/atom. The total magnetization comes out at 14.13 μB/cell.

=====

No. 2
VASP calculation (PBE) on Sr2CrBiSe after structural relaxation.

Structure (POSCAR):
```
Sr2CrBiSe
1.0
5.9069 0.0000 0.0000
0.0000 5.9069 0.0000
0.0000 0.0000 4.8972
Sr Cr Bi Se
2 1 1 1
Direct
0.0000 0.5000 0.0000
0.5000 0.0000 0.0000
0.0000 0.0000 0.5000
0.5000 0.5000 0.5000
0.0000 0.0000 0.0000
```

## Properties
Its formation energy from raw total energies is -0.611 eV/atom. The total magnetization comes out at 4.98 μB/cell.

=====

No. 3
VASP calculation (PBE) on Tl2CrBiSe4 after structural relaxation.

Structure (POSCAR):
```
Tl2CrBiSe4
1.0
-4.1038 4.3850 5.9848
4.1038 -4.3850 5.9848
4.1038 4.3850 -5.9848
Tl Cr Bi Se
4 2 2 8
Direct
0.0000 0.0000 0.0000
0.5000 0.0000 0.0000
0.5000 0.0000 0.5000
0.5000 0.5000 0.5000
0.0000 0.0000 0.5000
0.0000 0.5000 0.0000
0.0000 0.5000 0.5000
0.5000 0.5000 0.0000
0.1911 0.7450 0.4461
0.2011 0.2550 0.9461
0.2209 0.2315 0.5107
0.2209 0.7102 0.9893
0.7791 0.2898 0.0107
0.7791 0.7685 0.4893
0.7989 0.7450 0.0539
0.8089 0.2550 0.5539
```

## Properties
Its formation energy from raw total energies is -0.388 eV/atom. The total magnetization comes out at 6.03 μB/cell.

=====

No. 4
VASP calculation (PBE) on CrSi2Bi after structural relaxation.

Structure (POSCAR):
```
CrSi2Bi
1.0
-2.2789 2.2789 8.2801
2.2789 -2.2789 8.2801
2.2789 2.2789 -8.2801
Cr Si Bi
2 4 2
Direct
0.0000 0.0000 0.0000
0.7500 0.2500 0.5000
0.3750 0.2275 0.3525
0.7725 0.1250 0.1475
0.8750 0.0225 0.6475
0.9775 0.6250 0.8525
0.2500 0.7500 0.5000
0.5000 0.5000 0.0000
```

## Properties
Its formation energy from raw total energies is 0.463 eV/atom. The total magnetization comes out at 5.74 μB/cell.

=====

No. 5
VASP calculation (PBE) on CrSi3Bi after structural relaxation.

Structure (POSCAR):
```
CrSi3Bi
1.0
4.6271 0.0000 0.0000
0.0000 4.6271 0.0000
0.0000 0.0000 4.6271
Cr Si Bi
1 3 1
Direct
0.0000 0.0000 0.0000
0.0000 0.0000 0.5000
0.0000 0.5000 0.0000
0.5000 0.0000 0.0000
0.5000 0.5000 0.5000
```

## Properties
Its formation energy from raw total energies is 0.530 eV/atom. The total magnetization comes out at 1.82 μB/cell. The energy above the most stable polymorph in this dataset is 0.000 eV/atom.

=====

No. 6
VASP calculation (PBE) on Cr2SiBi after structural relaxation.

Structure (POSCAR):
```
Cr2SiBi
1.0
-2.0440 2.0440 8.6235
2.0440 -2.0440 8.6235
2.0440 2.0440 -8.6235
Cr Si Bi
4 2 2
Direct
0.0144 0.6250 0.8894
0.3750 0.2644 0.3894
0.7356 0.1250 0.1106
0.8750 0.9856 0.6106
0.0000 0.0000 0.0000
0.7500 0.2500 0.5000
0.2500 0.7500 0.5000
0.5000 0.5000 0.0000
```

## Properties
Its formation energy from raw total energies is 0.715 eV/atom. The total magnetization comes out at 0.00 μB/cell. The energy above the most stable polymorph in this dataset is 0.115 eV/atom.

=====

No. 7
VASP calculation (PBE) on CrSiBi3 after structural relaxation.

Structure (POSCAR):
```
CrSiBi3
1.0
5.3417 0.0000 0.0000
0.0000 5.3417 0.0000
0.0000 0.0000 5.3417
Cr Si Bi
1 1 3
Direct
0.0000 0.0000 0.0000
0.5000 0.5000 0.5000
0.0000 0.5000 0.5000
0.5000 0.0000 0.5000
0.5000 0.5000 0.0000
```

## Properties
Its formation energy from raw total energies is 1.408 eV/atom. The total magnetization comes out at 0.67 μB/cell. The energy above the most stable polymorph in this dataset is 0.614 eV/atom.

=====

No. 8
VASP calculation (PBE) on CrSiBi3 after structural relaxation.

Structure (POSCAR):
```
CrSiBi3
1.0
5.2248 0.0000 0.0000
0.0000 5.2248 0.0000
0.0000 0.0000 5.2248
Cr Si Bi
1 1 3
Direct
0.0000 0.0000 0.0000
0.5000 0.5000 0.5000
0.0000 0.0000 0.5000
0.0000 0.5000 0.0000
0.5000 0.0000 0.0000
```

## Properties
Its formation energy from raw total energies is 0.794 eV/atom. The total magnetization comes out at 2.05 μB/cell. The energy above the most stable polymorph in this dataset is 0.000 eV/atom.

=====

No. 9
VASP calculation (PBE) on CrSiBi2 after structural relaxation.

Structure (POSCAR):
```
CrSiBi2
1.0
-3.2903 3.2903 5.9679
3.2903 -3.2903 5.9679
3.2903 3.2903 -5.9679
Cr Si Bi
2 2 4
Direct
0.0000 0.0000 0.0000
0.7500 0.2500 0.5000
0.2500 0.7500 0.5000
0.5000 0.5000 0.0000
0.1350 0.6250 0.0100
0.3750 0.3850 0.5100
0.6150 0.1250 0.9900
0.8750 0.8650 0.4900
```

## Properties
Its formation energy from raw total energies is 0.591 eV/atom. The total magnetization comes out at 8.00 μB/cell.

=====

No. 10
VASP calculation (PBE) on Cr2SiBi after structural relaxation.

Structure (POSCAR):
```
Cr2SiBi
1.0
0.0000 3.1593 3.1593
3.1593 0.0000 3.1593
3.1593 3.1593 0.0000
Cr Si Bi
2 1 1
Direct
0.2500 0.2500 0.2500
0.7500 0.7500 0.7500
0.0000 0.0000 0.0000
0.5000 0.5000 0.5000
```

## Properties
Its formation energy from raw total energies is 0.599 eV/atom. The total magnetization comes out at 2.96 μB/cell. The energy above the most stable polymorph in this dataset is 0.000 eV/atom.

=====

No. 11
VASP calculation (PBE) on Cr2SnBi after structural relaxation.

Structure (POSCAR):
```
Cr2SnBi
1.0
-3.8121 3.8121 3.1786
3.8121 -3.8121 3.1786
3.8121 3.8121 -3.1786
Cr Sn Bi
4 2 2
Direct
0.1136 0.6250 0.9886
0.3750 0.3636 0.4886
0.6364 0.1250 0.0114
0.8750 0.8864 0.5114
0.0000 0.0000 0.0000
0.7500 0.2500 0.5000
0.2500 0.7500 0.5000
0.5000 0.5000 0.0000
```

## Properties
Its energy relative to the elements is 2.668 eV per formula unit. The total magnetization comes out at 14.10 μB/cell. The energy above the most stable polymorph in this dataset is 0.150 eV/atom.

=====

No. 12
VASP calculation (PBE) on CrSn3Bi after structural relaxation.

Structure (POSCAR):
```
CrSn3Bi
1.0
5.8840 0.0000 0.0000
0.0000 5.8840 0.0000
0.0000 0.0000 5.8840
Cr Sn Bi
1 3 1
Direct
0.0000 0.0000 0.0000
0.0000 0.5000 0.5000
0.5000 0.0000 0.5000
0.5000 0.5000 0.0000
0.5000 0.5000 0.5000
```

## Properties
Its energy relative to the elements is 5.906 eV per formula unit. The total magnetization comes out at 4.71 μB/cell. The energy above the most stable polymorph in this dataset is 0.890 eV/atom.